1.
Density functional theory data (PBE) for VGe3Rh after structural relaxation.

The calculation puts the offset from the most stable computed form at 0.0000 eV/atom. The volume comes out at 21.48 Å³ per atom. The calculation puts the formation energy at 0.63 eV per atom.

The structure belongs to space group Pm-3m (No. 221); the cell edges are 4.7530, 4.7530 and 4.7530 Å and the angles 90.00°, 90.00° and 90.00°. The distinct sites, in fractional coordinates, are V at (0.0000, 0.0000, 0.0000), Ge at (0.0000, 0.5000, 0.5000) and Rh at (0.5000, 0.5000, 0.5000).

2.
Density functional theory data (PBE) for V3GeRh4 after structural relaxation.

The volume comes out at 13.83 Å³ per atom. The calculation puts the formation energy at -0.39 eV per atom.

The structure belongs to space group Pmma (No. 51); the cell edges are 8.7559, 5.4731 and 4.6160 Å and the angles 90.00°, 90.00° and 90.00°. The distinct sites, in fractional coordinates, are V at (0.0000, 0.0000, 0.0000), V at (0.2500, 0.0000, 0.3666), V at (0.2500, 0.5000, 0.3739), Ge at (0.0000, 0.5000, 0.0000), Rh at (0.0000, 0.2466, 0.5000) and Rh at (0.2500, 0.2499, 0.8704).

no.,magnetization (μB per formula unit)
1,3.22
2,0.00